HfNbPb: optimized geometry, PBE.

Summary:
The value obtained for the energy relative to the elements is 0.89 eV/f.u. For the volume, the calculation gives 65.7 Å³/cell. For the final energy, the calculation gives -7.614 eV/atom.

Cell: 5.0161 5.0161 3.0153 Å, 90.00 90.00 120.00°
Space group P3m1 (No. 156)
Unique sites:
1 Hf 0.0000 0.0000 0.0000 x1
2 Nb 0.6667 0.3333 0.4130 x1
3 Pb 0.3333 0.6667 0.6241 x1



AcThZn4: optimized geometry, PBE.

Summary:
The value obtained for the energy relative to the elements is -1.20 eV/f.u. For the volume, the calculation gives 522.0 Å³/cell. For the final energy, the calculation gives -2.971 eV/atom.

Cell: 8.0520 8.0520 8.0520 Å, 90.00 90.00 90.00°
Space group F-43m (No. 216)
Unique sites:
1 Ac 0.0000 0.0000 0.0000 x4
2 Th 0.2500 0.2500 0.2500 x4
3 Zn 0.1235 0.1235 0.6235 x16



Sm4YHg5: optimized geometry, PBE.

Summary:
The value obtained for the energy relative to the elements is -4.78 eV/f.u. For the volume, the calculation gives 270.4 Å³/cell. For the final energy, the calculation gives -3.163 eV/atom.

Cell: 3.7826 3.7826 18.8991 Å, 90.00 90.00 90.00°
Space group P4/mmm (No. 123)
Unique sites:
1 Sm 0.0000 0.0000 0.1007 x2
2 Sm 0.0000 0.0000 0.3019 x2
3 Y 0.0000 0.0000 0.5000 x1
4 Hg 0.5000 0.5000 0.0000 x1
5 Hg 0.5000 0.5000 0.2013 x2
6 Hg 0.5000 0.5000 0.4047 x2



CaTe2P: optimized geometry, PBE.

Summary:
Its uncorrected formation energy is -0.450 eV per atom. For the volume, the calculation gives 209.6 Å³/cell. For the final energy, the calculation gives -3.873 eV/atom.

Cell: 4.0344 5.3694 9.6770 Å, 90.00 90.00 90.00°
Space group Immm (No. 71)
Unique sites:
1 Ca 0.0000 0.0000 0.0000 x2
2 Te 0.0000 0.5000 0.1989 x4
3 P 0.0000 0.0000 0.5000 x2



Which of these has the highest final energy? AcThZn4